10
Lattice="6.736 0.000 0.000 3.368 5.829 0.000 3.368 1.940 6.261" Properties=species:S:1:pos:R:3 comment="Ce3TeC | Alexandria | PBE | optimized geometry" formation_energy_uncorrected_ev_per_atom=-0.48 dft_energy_ev_per_atom=-6.51 spacegroup="Cm (8)" relative_energy_ev_per_atom=0.107 n_ef_per_ev_fu=10.48 rho_g_cm3=7.565 pbc="T T T"
Ce 8.154 1.305 2.382
Ce 8.160 3.238 5.460
Ce 6.458 6.177 5.464
Ce 4.757 3.238 5.461
Ce 9.827 4.204 2.382
Ce 4.764 1.305 2.383
Te 6.459 4.215 2.752
Te 9.827 6.161 5.066
C 3.091 2.272 3.929
C 6.459 0.333 0.787

7
Lattice="-3.930 0.996 0.695 0.360 -1.431 4.085 1.980 7.672 0.204" Properties=species:S:1:pos:R:3 comment="YGa2Ag4 | Alexandria | PBE | optimized geometry" dft_energy_ev_per_atom=-3.66 spacegroup="Cmmm (65)" relative_energy_ev_per_atom=0.000 n_ef_per_ev_fu=3.90 rho_g_cm3=8.047 delta_e_f_ev_per_atom=-0.24 pbc="T T T"
Y 0.000 0.000 0.000
Ga -1.440 0.893 2.748
Ga -0.150 6.344 2.235
Ag -0.399 4.248 3.832
Ag 0.977 1.852 2.871
Ag -1.192 2.988 1.152
Ag 1.363 4.389 1.418

6
Lattice="8.784 -0.024 0.000 -7.984 3.662 0.000 0.000 0.000 5.483" Properties=species:S:1:pos:R:3 comment="Y2Mg | Alexandria | PBE | optimized geometry" dft_energy_ev_per_atom=-4.92 spacegroup="Cmcm (63)" n_ef_per_ev_fu=3.63 rho_g_cm3=3.829 delta_e_f_ev_per_atom=-0.08 pbc="T T T"
Mg 7.663 0.222 1.371
Mg -6.863 3.416 4.112
Y 1.921 1.485 1.371
Y -1.121 2.154 4.112
Y -3.395 2.653 1.371
Y 4.195 0.985 4.112

What did the second record say?
7
Lattice="-3.930 0.996 0.695 0.360 -1.431 4.085 1.980 7.672 0.204" Properties=species:S:1:pos:R:3 comment="YGa2Ag4 | Alexandria | PBE | optimized geometry" dft_energy_ev_per_atom=-3.66 spacegroup="Cmmm (65)" relative_energy_ev_per_atom=0.000 n_ef_per_ev_fu=3.90 rho_g_cm3=8.047 delta_e_f_ev_per_atom=-0.24 pbc="T T T"
Y 0.000 0.000 0.000
Ga -1.440 0.893 2.748
Ga -0.150 6.344 2.235
Ag -0.399 4.248 3.832
Ag 0.977 1.852 2.871
Ag -1.192 2.988 1.152
Ag 1.363 4.389 1.418